Entry 1:
## Zr3Sc3In (PBE)

Data for a geometry-optimized Zr3Sc3In structure.

## Properties
* raw total energy: -6.885 eV per atom
* energy of formation: -117.2 meV per atom

Cell lengths 5.1479, 8.5745, 8.5745 Å; angles 120.00, 90.00, 90.00 degrees
Closest atoms and distances in Å follow each position.
Positions (direct):
Zr  0.7500  0.9409  0.7654  5 Sc 3.11-3.40, 6 Zr 3.14-3.15, 1 In 3.25
Zr  0.7500  0.8246  0.0591  5 Sc 3.11-3.40, 6 Zr 3.14-3.15, 1 In 3.25
Zr  0.2500  0.7654  0.8246  5 Sc 3.11-3.40, 6 Zr 3.14-3.15, 1 In 3.25
Zr  0.7500  0.2346  0.1754  5 Sc 3.11-3.40, 6 Zr 3.14-3.15, 1 In 3.25
Zr  0.2500  0.1754  0.9409  5 Sc 3.11-3.40, 6 Zr 3.14-3.15, 1 In 3.25
Zr  0.2500  0.0591  0.2346  5 Sc 3.11-3.40, 6 Zr 3.14-3.15, 1 In 3.25
Sc  0.7500  0.3738  0.9031  5 Zr 3.11-3.40, 3 In 3.19-3.26, 4 Sc 3.24-3.25
Sc  0.7500  0.5294  0.6262  5 Zr 3.11-3.40, 3 In 3.19-3.26, 4 Sc 3.24-3.25
Sc  0.2500  0.9031  0.5294  5 Zr 3.11-3.40, 3 In 3.19-3.26, 4 Sc 3.24-3.25
Sc  0.7500  0.0969  0.4706  5 Zr 3.11-3.40, 3 In 3.19-3.26, 4 Sc 3.24-3.25
Sc  0.2500  0.4706  0.3738  5 Zr 3.11-3.40, 3 In 3.19-3.26, 4 Sc 3.24-3.25
Sc  0.2500  0.6262  0.0969  5 Zr 3.11-3.40, 3 In 3.19-3.26, 4 Sc 3.24-3.25
In  0.2500  0.3333  0.6667  9 Sc 3.19-3.26, 3 Zr 3.25
In  0.7500  0.6667  0.3333  9 Sc 3.19-3.26, 3 Zr 3.25

***

Entry 2:
## NdDy2WN4 (PBE)

Data for a geometry-optimized NdDy2WN4 structure.

## Properties
* raw total energy: -8.640 eV per atom
* formation energy from raw total energies: -25.6 kcal/mol of atoms

Cell lengths 3.4256, 6.1871, 11.9593 Å; angles 90.00, 90.00, 106.07 degrees
Closest atoms and distances in Å follow each position.
Positions (direct):
Nd  0.0926  0.1852  0.7500  2 N 2.55
Nd  0.9074  0.8148  0.2500  2 N 2.55
Dy  0.3703  0.7406  0.5378  5 N 2.30-2.54
Dy  0.6297  0.2594  0.0378  5 N 2.30-2.54
Dy  0.6297  0.2594  0.4622  5 N 2.30-2.54
Dy  0.3703  0.7406  0.9622  5 N 2.30-2.54
W  0.8341  0.6682  0.7500  4 N 1.91-2.08
W  0.1659  0.3318  0.2500  4 N 1.91-2.08
N  0.2626  0.5251  0.1220  1 W 1.91
N  0.7374  0.4749  0.6220  1 W 1.91
N  0.7374  0.4749  0.8780  1 W 1.91
N  0.2626  0.5251  0.3780  1 W 1.91
N  0.0000  0.0000  0.5000  4 Dy 2.35
N  0.0000  0.0000  0.0000  4 Dy 2.35
N  0.4340  0.8680  0.7500  2 W 2.08
N  0.5660  0.1320  0.2500  2 W 2.08

***

Please write out number 1 again, unchanged.
## Zr3Sc3In (PBE)

Data for a geometry-optimized Zr3Sc3In structure.

## Properties
* raw total energy: -6.885 eV per atom
* energy of formation: -117.2 meV per atom

Cell lengths 5.1479, 8.5745, 8.5745 Å; angles 120.00, 90.00, 90.00 degrees
Closest atoms and distances in Å follow each position.
Positions (direct):
Zr  0.7500  0.9409  0.7654  5 Sc 3.11-3.40, 6 Zr 3.14-3.15, 1 In 3.25
Zr  0.7500  0.8246  0.0591  5 Sc 3.11-3.40, 6 Zr 3.14-3.15, 1 In 3.25
Zr  0.2500  0.7654  0.8246  5 Sc 3.11-3.40, 6 Zr 3.14-3.15, 1 In 3.25
Zr  0.7500  0.2346  0.1754  5 Sc 3.11-3.40, 6 Zr 3.14-3.15, 1 In 3.25
Zr  0.2500  0.1754  0.9409  5 Sc 3.11-3.40, 6 Zr 3.14-3.15, 1 In 3.25
Zr  0.2500  0.0591  0.2346  5 Sc 3.11-3.40, 6 Zr 3.14-3.15, 1 In 3.25
Sc  0.7500  0.3738  0.9031  5 Zr 3.11-3.40, 3 In 3.19-3.26, 4 Sc 3.24-3.25
Sc  0.7500  0.5294  0.6262  5 Zr 3.11-3.40, 3 In 3.19-3.26, 4 Sc 3.24-3.25
Sc  0.2500  0.9031  0.5294  5 Zr 3.11-3.40, 3 In 3.19-3.26, 4 Sc 3.24-3.25
Sc  0.7500  0.0969  0.4706  5 Zr 3.11-3.40, 3 In 3.19-3.26, 4 Sc 3.24-3.25
Sc  0.2500  0.4706  0.3738  5 Zr 3.11-3.40, 3 In 3.19-3.26, 4 Sc 3.24-3.25
Sc  0.2500  0.6262  0.0969  5 Zr 3.11-3.40, 3 In 3.19-3.26, 4 Sc 3.24-3.25
In  0.2500  0.3333  0.6667  9 Sc 3.19-3.26, 3 Zr 3.25
In  0.7500  0.6667  0.3333  9 Sc 3.19-3.26, 3 Zr 3.25

***

> The highest raw total energy belongs to which entry?

Zr3Sc3In

***

> The lowest raw total energy belongs to which entry?

NdDy2WN4

***

> Among the records above, which one has the lowest raw total energy?

NdDy2WN4